First-principles (PBE) data for ZnAg2SnN after structural relaxation, as listed in Alexandria.

abc: 5.3692 5.0506 5.3692
angles: 90.00 90.00 90.00
Sites, in units of the cell vectors:
Sn (0.0000, 0.0000, 0.0000)
N (0.5000, 0.5000, 0.5000)
Ag (0.0000, 0.0000, 0.5000)
Ag (0.5000, 0.0000, 0.0000)
Zn (0.0000, 0.5000, 0.0000)

Computed properties:
formation energy (no corrections): 1.39 eV per atom
DOS(E_F): 0.129 states/eV per atom
calculated density: 4.7 g cm⁻³
volume: 29.1 Å³/atom

First-principles (PBE) data for Sr2AgN after structural relaxation, as listed in Alexandria.

abc: 6.9366 7.5297 7.2485
angles: 90.00 90.00 90.00
Sites, in units of the cell vectors:
N (0.0626, 0.1034, 0.1123)
Ag (0.5625, 0.0056, 0.5118)
Sr (0.8003, 0.6640, 0.6619)
N (0.5626, 0.8966, 0.8877)
Sr (0.3248, 0.8360, 0.1619)
Sr (0.8248, 0.1640, 0.8381)
N (0.0626, 0.3966, 0.6123)
Sr (0.8003, 0.8360, 0.1619)
Sr (0.3003, 0.3360, 0.3381)
N (0.5626, 0.6034, 0.3877)
Sr (0.3003, 0.1640, 0.8381)
Ag (0.0625, 0.5056, 0.9882)
Sr (0.3248, 0.6640, 0.6619)
Ag (0.0625, 0.9944, 0.4882)
Sr (0.8248, 0.3360, 0.3381)
Ag (0.5625, 0.4944, 0.0118)

Computed properties:
formation energy (no corrections): -0.28 eV per atom
DOS(E_F): 0.047 states/eV per atom
calculated density: 5.2 g cm⁻³
volume: 23.7 Å³/atom

First-principles (PBE) data for SrAgN3 after structural relaxation, as listed in Alexandria.

abc: 4.5163 4.5163 4.5163
angles: 90.00 90.00 90.00
Sites, in units of the cell vectors:
Sr (0.0000, 0.0000, 0.0000)
Ag (0.5000, 0.5000, 0.5000)
N (0.0000, 0.5000, 0.0000)
N (0.0000, 0.0000, 0.5000)
N (0.5000, 0.0000, 0.0000)

Computed properties:
formation energy (no corrections): 2.55 eV per atom
DOS(E_F): 1.986 states/eV per atom
calculated density: 4.3 g cm⁻³
volume: 18.4 Å³/atom

First-principles (PBE) data for Sr4AgN after structural relaxation, as listed in Alexandria.

abc: 7.4210 10.0925 11.9635
angles: 90.00 90.00 106.77
Sites, in units of the cell vectors:
Sr (0.7892, 0.0544, 0.5685)
Sr (0.4261, 0.9093, 0.8104)
Sr (0.9261, 0.4093, 0.6896)
Ag (0.1808, 0.3096, 0.4900)
N (0.7068, 0.1691, 0.7292)
Sr (0.7108, 0.4456, 0.0685)
Sr (0.8814, 0.1303, 0.8932)
Sr (0.2892, 0.5544, 0.9315)
Sr (0.1186, 0.8697, 0.1068)
N (0.2068, 0.6691, 0.7708)
N (0.2932, 0.8309, 0.2708)
Sr (0.0758, 0.2543, 0.2207)
Ag (0.6808, 0.8096, 0.0100)
Sr (0.5758, 0.7543, 0.2793)
Sr (0.5739, 0.0907, 0.1896)
Sr (0.2108, 0.9456, 0.4315)
N (0.7932, 0.3309, 0.2292)
Ag (0.3192, 0.1904, 0.9900)
Ag (0.8192, 0.6904, 0.5100)
Sr (0.3814, 0.6303, 0.6068)
Sr (0.0739, 0.5907, 0.3104)
Sr (0.4242, 0.2457, 0.7207)
Sr (0.9242, 0.7457, 0.7793)
Sr (0.6186, 0.3697, 0.3932)

Computed properties:
formation energy (no corrections): -0.30 eV per atom
energy above the lowest structure with this stoichiometry: 0.000 eV per atom
DOS(E_F): 0.594 states/eV per atom
calculated density: 3.7 g cm⁻³
volume: 35.7 Å³/atom

First-principles (PBE) data for Sr4Ag2N after structural relaxation, as listed in Alexandria.

abc: 5.1969 5.1969 8.9644
angles: 73.15 73.15 90.00
Sites, in units of the cell vectors:
Ag (0.6362, 0.6362, 0.7275)
Sr (0.1626, 0.1626, 0.6748)
Sr (0.8374, 0.8374, 0.3252)
Sr (0.5000, 0.0000, 0.0000)
Ag (0.3638, 0.3638, 0.2725)
N (0.0000, 0.0000, 0.0000)
Sr (0.0000, 0.5000, 0.0000)

Computed properties:
formation energy (no corrections): -0.35 eV per atom
energy above the lowest structure with this stoichiometry: 0.000 eV per atom
DOS(E_F): 0.606 states/eV per atom
calculated density: 4.4 g cm⁻³
volume: 31.5 Å³/atom

First-principles (PBE) data for SrAgN3 after structural relaxation, as listed in Alexandria.

abc: 4.1714 4.1714 4.1714
angles: 90.00 90.00 90.00
Sites, in units of the cell vectors:
Ag (0.0000, 0.0000, 0.0000)
Sr (0.5000, 0.5000, 0.5000)
N (0.0000, 0.5000, 0.0000)
N (0.0000, 0.0000, 0.5000)
N (0.5000, 0.0000, 0.0000)

Computed properties:
formation energy (no corrections): 1.38 eV per atom
DOS(E_F): 0.575 states/eV per atom
calculated density: 5.4 g cm⁻³
volume: 14.5 Å³/atom

First-principles (PBE) data for SrAgN2 after structural relaxation, as listed in Alexandria.

abc: 4.4065 4.4065 4.4065
angles: 60.00 60.00 60.00
Sites, in units of the cell vectors:
Ag (0.5000, 0.5000, 0.5000)
N (0.2500, 0.2500, 0.2500)
Sr (0.0000, 0.0000, 0.0000)
N (0.7500, 0.7500, 0.7500)

Computed properties:
formation energy (no corrections): 0.92 eV per atom
energy above the lowest structure with this stoichiometry: 0.000 eV per atom
DOS(E_F): 0.265 states/eV per atom
calculated density: 6.1 g cm⁻³
volume: 15.1 Å³/atom

First-principles (PBE) data for Sr3AgN after structural relaxation, as listed in Alexandria.

abc: 5.2626 5.2626 5.2626
angles: 90.00 90.00 90.00
Sites, in units of the cell vectors:
N (0.0000, 0.0000, 0.0000)
Sr (0.0000, 0.0000, 0.5000)
Sr (0.0000, 0.5000, 0.0000)
Sr (0.5000, 0.0000, 0.0000)
Ag (0.5000, 0.5000, 0.5000)

Computed properties:
formation energy (no corrections): -0.39 eV per atom
energy above the lowest structure with this stoichiometry: 0.000 eV per atom
DOS(E_F): 0.509 states/eV per atom
calculated density: 4.4 g cm⁻³
volume: 29.1 Å³/atom